A plane-wave DFT calculation with PBE was carried out for a geometry-optimized ZnTe4As structure.

Cell: 6.2779 6.2779 6.2779 Å, 60.00 60.00 60.00°
Positions (direct):
Zn  0.0000  0.0000  0.0000
Te  0.3760  0.3760  0.3760
Te  0.3760  0.3760  0.8720
Te  0.3760  0.8720  0.3760
Te  0.8720  0.3760  0.3760
As  0.7500  0.7500  0.7500

## Properties
Crystal system: cubic
Spin magnetization in μB per formula unit: 0.00
Formation energy from raw total energies in eV per formula unit: 4.01


A plane-wave DFT calculation with PBE was carried out for a geometry-optimized Pm2Ga3Ni structure.

Cell: 3.8197 4.3367 7.6292 Å, 90.00 90.00 90.00°
Positions (direct):
Pm  0.0000  0.0000  0.0000
Pm  0.0000  0.5000  0.4733
Ga  0.5000  0.0000  0.6417
Ga  0.5000  0.5000  0.1594
Ga  0.5000  0.5000  0.8207
Ni  0.5000  0.0000  0.3172

## Properties
Crystal system: orthorhombic
Spin magnetization in μB per formula unit: 0.00
Formation energy from the elements in meV per atom: -618


A plane-wave DFT calculation with PBE was carried out for a geometry-optimized MgFePb2 structure.

Cell: 7.3115 7.3115 7.3115 Å, 90.00 90.00 90.00°
Positions (direct):
Mg  0.0000  0.0000  0.0000
Mg  0.0000  0.5000  0.5000
Mg  0.5000  0.0000  0.5000
Mg  0.5000  0.5000  0.0000
Fe  0.2500  0.2500  0.2500
Fe  0.2500  0.7500  0.7500
Fe  0.7500  0.2500  0.7500
Fe  0.7500  0.7500  0.2500
Pb  0.0000  0.0000  0.5000
Pb  0.0000  0.5000  0.0000
Pb  0.2500  0.2500  0.7500
Pb  0.2500  0.7500  0.2500
Pb  0.5000  0.0000  0.0000
Pb  0.5000  0.5000  0.5000
Pb  0.7500  0.2500  0.2500
Pb  0.7500  0.7500  0.7500

## Properties
Crystal system: cubic
Spin magnetization in μB per formula unit: 2.87
Formation energy from the elements in meV per atom: 525


A plane-wave DFT calculation with PBE was carried out for a geometry-optimized La12Ga6Ni structure.

Cell: 8.3709 8.3709 8.3709 Å, 92.51 92.51 92.51°
Positions (direct):
La  0.0382  0.9241  0.6750
La  0.0759  0.3250  0.9618
La  0.1835  0.4311  0.5471
La  0.3250  0.9618  0.0759
La  0.4311  0.5471  0.1835
La  0.4529  0.8165  0.5689
La  0.5471  0.1835  0.4311
La  0.5689  0.4529  0.8165
La  0.6750  0.0382  0.9241
La  0.8165  0.5689  0.4529
La  0.9241  0.6750  0.0382
La  0.9618  0.0759  0.3250
Ga  0.1522  0.7426  0.3421
Ga  0.2574  0.6579  0.8478
Ga  0.3421  0.1522  0.7426
Ga  0.6579  0.8478  0.2574
Ga  0.7426  0.3421  0.1522
Ga  0.8478  0.2574  0.6579
Ni  0.0000  0.0000  0.0000

## Properties
Crystal system: trigonal
Spin magnetization in μB per formula unit: 0.00
Formation energy from the elements in meV per atom: -333


A plane-wave DFT calculation with PBE was carried out for a geometry-optimized AcPHRu structure.

Cell: 4.1013 4.1013 8.4359 Å, 90.00 90.00 90.00°
Positions (direct):
Ac  0.2500  0.2500  0.1812
Ac  0.7500  0.7500  0.8188
P  0.2500  0.2500  0.6403
P  0.7500  0.7500  0.3597
H  0.2500  0.7500  0.0000
H  0.7500  0.2500  0.0000
Ru  0.2500  0.7500  0.5000
Ru  0.7500  0.2500  0.5000

## Properties
Final energy in eV for the cell shown: -51.61
Crystal system: tetragonal
Spin magnetization in μB per formula unit: 0.00


A plane-wave DFT calculation with PBE was carried out for a geometry-optimized As4Pt3 structure.

Cell: 5.4085 5.4085 5.0249 Å, 90.00 90.00 120.00°
Positions (direct):
As  0.0000  0.0000  0.2491
As  0.0000  0.0000  0.7509
As  0.3333  0.6667  0.5000
As  0.6667  0.3333  0.5000
Pt  0.0000  0.5000  0.0000
Pt  0.5000  0.0000  0.0000
Pt  0.5000  0.5000  0.0000

## Properties
Crystal system: hexagonal
Spin magnetization in μB per formula unit: 0.00
Formation energy from the elements in meV per atom: 262


A plane-wave DFT calculation with PBE was carried out for a geometry-optimized KTaInTc2 structure.

Cell: 5.2068 5.2068 5.2826 Å, 90.00 90.00 90.00°
Positions (direct):
K  0.0000  0.0000  0.0000
Ta  0.5000  0.5000  0.0000
In  0.5000  0.5000  0.5000
Tc  0.0000  0.5000  0.5000
Tc  0.5000  0.0000  0.5000

## Properties
Crystal system: tetragonal
Spin magnetization in μB per formula unit: 1.85
Formation energy from the elements in meV per atom: 2185


A plane-wave DFT calculation with PBE was carried out for a geometry-optimized Tm5ZnRh6 structure.

Cell: 8.1117 8.1117 8.1117 Å, 146.55 131.18 60.48°
Positions (direct):
Tm  0.0000  0.0000  0.0000
Tm  0.1714  0.6714  0.5000
Tm  0.3466  0.3466  0.0000
Tm  0.6534  0.6534  0.0000
Tm  0.8286  0.3286  0.5000
Zn  0.5000  0.0000  0.5000
Rh  0.0859  0.8352  0.2507
Rh  0.2430  0.5000  0.7430
Rh  0.4154  0.1648  0.2507
Rh  0.5846  0.8352  0.7493
Rh  0.7570  0.5000  0.2570
Rh  0.9141  0.1648  0.7493

## Properties
Crystal system: orthorhombic
Spin magnetization in μB per formula unit: 0.00
Formation energy from the elements in meV per atom: -888


The highest spin magnetization belongs to which entry?
MgFePb2


What is the spin magnetization in the eighth record?
0.00 μB per formula unit